Model w:
Compound: Ca3Mg4Ag4
Source: Alexandria via LeMat-Bulk
Functional: PBE
Structure: relaxed

Values from the calculation:
Total moment, μB per formula unit: 0.00
Space group: No. 217

```
Ca3Mg4Ag4
1.0
-6.732 2.597 -0.411
1.034 -4.855 -5.252
0.975 -3.159 6.426
Ca Mg Ag
3 4 4
Direct
0.500 0.500 0.000
0.500 0.000 0.500
0.000 0.500 0.500
0.000 0.263 0.000
0.000 0.000 0.263
0.263 0.000 0.000
0.737 0.737 0.737
0.000 0.623 0.000
0.623 0.000 0.000
0.000 0.000 0.623
0.377 0.377 0.377
```

***

Model x:
Compound: Ca3Mg4Ag4
Source: Alexandria via LeMat-Bulk
Functional: PBE
Structure: relaxed

Values from the calculation:
Total moment, μB per formula unit: 0.00
Space group: No. 71

```
Ca3Mg4Ag4
1.0
4.345 0.000 -1.081
-0.969 6.898 -3.896
-0.107 0.362 8.842
Ca Mg Ag
3 4 4
Direct
0.121 0.121 0.242
0.879 0.879 0.758
0.000 0.500 0.000
0.325 0.131 0.651
0.675 0.480 0.349
0.675 0.869 0.349
0.325 0.520 0.651
0.223 0.723 0.445
0.777 0.277 0.555
0.500 0.816 0.000
0.500 0.184 0.000
```

***

Stability order, top to bottom: model x, model w

***

Model w:
Compound: CaMg4Ag2
Source: Alexandria via LeMat-Bulk
Functional: PBE
Structure: relaxed

Values from the calculation:
Total moment, μB per formula unit: 0.00
Space group: No. 136

```
CaMg4Ag2
1.0
4.484 0.000 0.000
0.000 8.521 0.000
0.000 0.000 8.521
Ca Mg Ag
2 8 4
Direct
0.500 0.000 0.000
0.000 0.500 0.500
0.000 0.092 0.343
0.000 0.908 0.657
0.500 0.157 0.592
0.500 0.843 0.408
0.500 0.408 0.843
0.500 0.592 0.157
0.000 0.343 0.092
0.000 0.657 0.908
0.000 0.212 0.788
0.000 0.788 0.212
0.500 0.712 0.712
0.500 0.288 0.288
```

***

Model x:
Compound: CaMg4Ag2
Source: Alexandria via LeMat-Bulk
Functional: PBE
Structure: relaxed

Values from the calculation:
Total moment, μB per formula unit: 0.00
Space group: No. 65

```
CaMg4Ag2
1.0
4.368 0.000 0.000
0.000 4.467 0.000
0.000 -2.234 8.470
Ca Mg Ag
1 4 2
Direct
0.000 0.000 0.000
0.500 0.820 0.640
0.000 0.683 0.366
0.500 0.180 0.360
0.000 0.317 0.634
0.500 0.581 0.161
0.500 0.419 0.839
```

***

Stability order, top to bottom: model w, model x

***

Model w:
Compound: Ca4MgAg2
Source: Alexandria via LeMat-Bulk
Functional: PBE
Structure: relaxed

Values from the calculation:
Total moment, μB per formula unit: 0.00
Space group: No. 166

```
Ca4MgAg2
1.0
5.220 0.000 0.000
2.610 4.520 0.000
2.610 1.507 9.609
Ca Mg Ag
4 1 2
Direct
0.705 0.705 0.884
0.884 0.884 0.347
0.295 0.295 0.116
0.116 0.116 0.653
0.500 0.500 0.500
0.595 0.595 0.216
0.405 0.405 0.784
```

***

Model x:
Compound: Ca4MgAg2
Source: Alexandria via LeMat-Bulk
Functional: PBE
Structure: relaxed

Values from the calculation:
Total moment, μB per formula unit: 0.00
Space group: No. 63

```
Ca4MgAg2
1.0
-0.652 4.294 -3.327
2.146 -4.651 -1.921
-14.758 -5.220 -3.847
Ca Mg Ag
8 2 4
Direct
0.167 0.833 0.871
0.167 0.833 0.629
0.833 0.167 0.129
0.833 0.167 0.371
0.166 0.834 0.250
0.834 0.166 0.750
0.500 0.500 0.000
0.500 0.500 0.500
0.499 0.501 0.250
0.501 0.499 0.750
0.834 0.166 0.560
0.166 0.834 0.060
0.834 0.166 0.940
0.166 0.834 0.440
```

***

Stability order, top to bottom: model x, model w

***

Model w:
Compound: Ca3Mg2Ag
Source: Alexandria via LeMat-Bulk
Functional: PBE
Structure: relaxed

Values from the calculation:
Total moment, μB per formula unit: 0.00
Space group: No. 10

```
Ca3Mg2Ag
1.0
5.505 -0.008 0.022
2.740 8.245 0.011
-0.031 0.000 7.691
Ca Mg Ag
6 4 2
Direct
0.828 0.344 0.765
0.500 0.000 0.243
0.172 0.656 0.235
0.828 0.344 0.235
0.172 0.656 0.765
0.500 0.000 0.757
0.000 0.000 0.000
0.000 0.000 0.500
0.334 0.331 0.500
0.666 0.669 0.500
0.342 0.315 0.000
0.658 0.685 0.000
```

***

Model x:
Compound: Ca3Mg2Ag
Source: Alexandria via LeMat-Bulk
Functional: PBE
Structure: relaxed

Values from the calculation:
Total moment, μB per formula unit: 0.00
Space group: No. 123

```
Ca3Mg2Ag
1.0
-0.395 -2.189 -3.108
-2.212 -2.409 1.978
-9.656 6.257 -3.179
Ca Mg Ag
3 2 1
Direct
0.000 0.000 0.000
0.000 0.000 0.650
0.000 0.000 0.350
0.500 0.500 0.826
0.500 0.500 0.174
0.500 0.500 0.500
```

***

Stability order, top to bottom: model x, model w

***

Model w:
Compound: CaPmMgAg
Source: Alexandria via LeMat-Bulk
Functional: PBE
Structure: relaxed

Values from the calculation:
Total moment, μB per formula unit: 0.00
Space group: No. 216

```
CaPmMgAg
1.0
5.370 0.000 0.000
2.685 4.651 0.000
2.685 1.550 4.385
Ca Mg Ag Pm
1 1 1 1
Direct
0.000 0.000 0.000
0.250 0.250 0.250
0.750 0.750 0.750
0.500 0.500 0.500
```

***

Model x:
Compound: CaPmMgAg
Source: Alexandria via LeMat-Bulk
Functional: PBE
Structure: relaxed

Values from the calculation:
Total moment, μB per formula unit: 0.32
Space group: No. 99

```
CaPmMgAg
1.0
3.793 0.000 0.000
0.000 3.793 0.000
0.000 0.000 7.700
Ca Pm Mg Ag
1 1 1 1
Direct
0.000 0.000 0.373
0.000 0.000 0.841
0.500 0.500 0.101
0.500 0.500 0.613
```

***

Stability order, top to bottom: model x, model w

***

Model w:
Compound: CaSmMgAg
Source: Alexandria via LeMat-Bulk
Functional: PBE
Structure: relaxed

Values from the calculation:
Total moment, μB per formula unit: 0.27
Space group: No. 99

```
CaSmMgAg
1.0
3.784 0.000 0.000
0.000 3.784 0.000
0.000 0.000 7.689
Ca Sm Mg Ag
1 1 1 1
Direct
0.000 0.000 0.373
0.000 0.000 0.840
0.500 0.500 0.099
0.500 0.500 0.616
```

***

Model x:
Compound: CaSmMgAg
Source: Alexandria via LeMat-Bulk
Functional: PBE
Structure: relaxed

Values from the calculation:
Total moment, μB per formula unit: 0.00
Space group: No. 216

```
CaSmMgAg
1.0
-1.158 4.941 -1.715
-3.810 0.729 -3.694
-4.648 2.287 1.361
Mg Ca Ag Sm
1 1 1 1
Direct
0.750 0.750 0.750
0.500 0.500 0.500
0.250 0.250 0.250
0.000 0.000 0.000
```

***

Stability order, top to bottom: model w, model x